1.
Material: V3GeO7
Method: DFT, PBE with a Hubbard U
State: optimized geometry

```
V3GeO7
1.0
3.533 -3.321 0.000
3.533 3.321 0.000
-2.994 0.000 4.737
V Ge O
3 1 7
Direct
0.000 0.000 0.000 V
0.278 0.724 0.543 V
0.724 0.278 0.543 V
0.499 0.499 0.039 Ge
0.003 0.003 0.642 O
0.136 0.567 0.783 O
0.357 0.357 0.246 O
0.408 0.875 0.278 O
0.567 0.136 0.783 O
0.659 0.659 0.839 O
0.875 0.408 0.278 O
```

Values from the calculation:
**Calculated density**: 5.0 Mg/m³
**Total DFT energy (no corrections)**: -7.349 eV/atom



2.
Material: VGe2O6
Method: DFT, PBE with a Hubbard U
State: optimized geometry

```
VGe2O6
1.0
5.058 -4.470 0.000
5.058 4.470 0.000
-1.956 0.000 5.235
V Ge O
2 4 12
Direct
0.102 0.898 0.750 V
0.898 0.102 0.250 V
0.209 0.383 0.733 Ge
0.383 0.209 0.233 Ge
0.617 0.791 0.767 Ge
0.791 0.617 0.267 Ge
0.038 0.175 0.615 O
0.079 0.629 0.758 O
0.175 0.038 0.115 O
0.344 0.390 0.048 O
0.371 0.921 0.742 O
0.390 0.344 0.548 O
0.610 0.656 0.452 O
0.629 0.079 0.258 O
0.656 0.610 0.952 O
0.825 0.962 0.885 O
0.921 0.371 0.242 O
0.962 0.825 0.385 O
```

Values from the calculation:
**Calculated density**: 4.1 Mg/m³
**Total DFT energy (no corrections)**: -6.854 eV/atom



3.
Material: V3Ge5O12
Method: DFT, PBE with a Hubbard U
State: optimized geometry

```
V3Ge5O12
1.0
-6.153 6.153 6.153
6.153 -6.153 6.153
6.153 6.153 -6.153
V Ge O
12 20 48
Direct
0.125 0.250 0.375 V
0.125 0.375 0.750 V
0.250 0.375 0.125 V
0.250 0.875 0.625 V
0.375 0.125 0.250 V
0.375 0.750 0.125 V
0.625 0.250 0.875 V
0.625 0.875 0.750 V
0.750 0.125 0.375 V
0.750 0.625 0.875 V
0.875 0.625 0.250 V
0.875 0.750 0.625 V
0.000 0.000 0.000 Ge
0.000 0.000 0.500 Ge
0.000 0.500 0.000 Ge
0.000 0.500 0.500 Ge
0.125 0.750 0.875 Ge
0.125 0.875 0.250 Ge
0.250 0.125 0.875 Ge
0.250 0.625 0.375 Ge
0.375 0.250 0.625 Ge
0.375 0.625 0.750 Ge
0.500 0.000 0.000 Ge
0.500 0.000 0.500 Ge
0.500 0.500 0.000 Ge
0.500 0.500 0.500 Ge
0.625 0.375 0.250 Ge
0.625 0.750 0.375 Ge
0.750 0.375 0.625 Ge
0.750 0.875 0.125 Ge
0.875 0.125 0.750 Ge
0.875 0.250 0.125 Ge
0.029 0.211 0.127 O
0.029 0.317 0.902 O
0.085 0.711 0.683 O
0.085 0.873 0.402 O
0.098 0.627 0.415 O
0.098 0.971 0.683 O
0.127 0.029 0.211 O
0.127 0.598 0.915 O
0.183 0.211 0.585 O
0.183 0.471 0.598 O
0.211 0.127 0.029 O
0.211 0.585 0.183 O
0.289 0.317 0.915 O
0.289 0.471 0.373 O
0.317 0.902 0.029 O
0.317 0.915 0.289 O
0.373 0.289 0.471 O
0.373 0.585 0.902 O
0.402 0.085 0.873 O
0.402 0.817 0.529 O
0.415 0.098 0.627 O
0.415 0.817 0.789 O
0.471 0.373 0.289 O
0.471 0.598 0.183 O
0.529 0.402 0.817 O
0.529 0.627 0.711 O
0.585 0.183 0.211 O
0.585 0.902 0.373 O
0.598 0.183 0.471 O
0.598 0.915 0.127 O
0.627 0.415 0.098 O
0.627 0.711 0.529 O
0.683 0.085 0.711 O
0.683 0.098 0.971 O
0.711 0.529 0.627 O
0.711 0.683 0.085 O
0.789 0.415 0.817 O
0.789 0.873 0.971 O
0.817 0.529 0.402 O
0.817 0.789 0.415 O
0.873 0.402 0.085 O
0.873 0.971 0.789 O
0.902 0.029 0.317 O
0.902 0.373 0.585 O
0.915 0.127 0.598 O
0.915 0.289 0.317 O
0.971 0.683 0.098 O
0.971 0.789 0.873 O
```

Values from the calculation:
**Calculated density**: 5.0 Mg/m³
**Total DFT energy (no corrections)**: -6.634 eV/atom